A plane-wave DFT calculation with PBE was carried out for a relaxed AsP6Pt crystal.

Geometry as POSCAR:
```
AsP6Pt
1.0
0.0000 4.2057 4.2057
4.2057 0.0000 4.2057
4.2057 4.2057 0.0000
As P Pt
1 6 1
Direct
0.0000 0.0000 0.0000 As
0.5411 0.5411 0.9589 P
0.5411 0.9589 0.5411 P
0.5411 0.9589 0.9589 P
0.9589 0.5411 0.5411 P
0.9589 0.5411 0.9589 P
0.9589 0.9589 0.5411 P
0.2500 0.2500 0.2500 Pt
```

Properties
energy: -4.82 eV per atom
symmetry: F-43m, No. 216

***

A plane-wave DFT calculation with PBE was carried out for a relaxed CsAuNO crystal.

Geometry as POSCAR:
```
CsAuNO
1.0
6.4466 0.0000 0.0000
0.0000 8.3648 0.0000
0.0000 0.0000 6.7313
Cs Au N O
4 4 4 4
Direct
0.0473 0.1604 0.0000 Cs
0.4527 0.1604 0.5000 Cs
0.5473 0.8396 0.0000 Cs
0.9527 0.8396 0.5000 Cs
0.0571 0.6014 0.9576 Au
0.4429 0.6014 0.4576 Au
0.5571 0.3986 0.9576 Au
0.9429 0.3986 0.4576 Au
0.1907 0.5039 0.3600 N
0.3093 0.5039 0.8600 N
0.6907 0.4961 0.3600 N
0.8093 0.4961 0.8600 N
0.0257 0.8153 0.0714 O
0.4743 0.8153 0.5714 O
0.5257 0.1847 0.0714 O
0.9743 0.1847 0.5714 O
```

Properties
excess energy over the best structure of this formula in the dataset: 397 meV/atom
symmetry: Pca2_1, No. 29

***

A plane-wave DFT calculation with PBE was carried out for a relaxed GdDyNi8B2 crystal.

Geometry as POSCAR:
```
GdDyNi8B2
1.0
4.9987 0.0000 0.0000
-2.4993 4.3290 0.0000
0.0000 0.0000 6.9686
Gd Dy Ni B
1 1 8 2
Direct
0.0000 0.0000 0.0000 Gd
0.0000 0.0000 0.5000 Dy
0.0000 0.5000 0.2076 Ni
0.0000 0.5000 0.7924 Ni
0.3333 0.6667 0.5000 Ni
0.5000 0.0000 0.2076 Ni
0.5000 0.0000 0.7924 Ni
0.5000 0.5000 0.2076 Ni
0.5000 0.5000 0.7924 Ni
0.6667 0.3333 0.5000 Ni
0.3333 0.6667 0.0000 B
0.6667 0.3333 0.0000 B
```

Properties
excess energy over the best structure of this formula in the dataset: 8 meV/atom
symmetry: P6/mmm, No. 191